Record 1
First-principles (PBE) data for a geometry-optimized Pu5UP6 structure, as listed in the Alexandria database.

Unit cell a=6.9146 b=6.9146 c=6.9203 alpha=99.59 beta=99.59 gamma=120.01
Last column: nearest neighbours and their distance in Å.
Positions (direct):
Pu1 0.0000 0.0000 0.0000  6 P 2.82-2.86
Pu2 0.1663 0.8337 0.5000  6 P 2.83
Pu3 0.3318 0.6682 0.0000  6 P 2.82-2.84
Pu4 0.6682 0.3318 0.0000  6 P 2.82-2.84
Pu5 0.8337 0.1663 0.5000  6 P 2.83
U1 0.5000 0.5000 0.5000  6 P 2.79
P1 0.0886 0.4178 0.2527  1 U 2.79, 5 Pu 2.82-2.84
P2 0.2541 0.2541 0.7484  1 U 2.79, 5 Pu 2.83-2.86
P3 0.4178 0.0886 0.2527  1 U 2.79, 5 Pu 2.82-2.84
P4 0.5822 0.9114 0.7473  1 U 2.79, 5 Pu 2.82-2.84
P5 0.7459 0.7459 0.2516  1 U 2.79, 5 Pu 2.83-2.86
P6 0.9114 0.5822 0.7473  1 U 2.79, 5 Pu 2.82-2.84

Results
- ΔE_f: -1.123 eV/atom
- E_tot: -10.740 eV/atom
- DOS at the Fermi energy: 48.0 states/eV/f.u.

***

Record 2
First-principles (PBE) data for a geometry-optimized La6N3Cl2 structure, as listed in the Alexandria database.

Unit cell a=6.5659 b=6.5659 c=7.2661 alpha=98.65 beta=98.65 gamma=120.02
Last column: nearest neighbours and their distance in Å.
Positions (direct):
La1 0.1012 0.4299 0.8034  3 N 2.56-2.60
La2 0.2284 0.2284 0.1999  3 N 2.58-2.62
La3 0.4299 0.1012 0.8034  3 N 2.56-2.60
La4 0.5701 0.8988 0.1966  3 N 2.56-2.60
La5 0.7716 0.7716 0.8001  3 N 2.58-2.62
La6 0.8988 0.5701 0.1966  3 N 2.56-2.60
N1 0.1672 0.8328 0.0000  6 La 2.56-2.60
N2 0.5000 0.5000 0.0000  6 La 2.56-2.62
N3 0.8328 0.1672 0.0000  6 La 2.56-2.60
Cl1 0.3328 0.6672 0.5000  6 La 3.03-3.04
Cl2 0.6672 0.3328 0.5000  6 La 3.03-3.04

Results
- E_tot: -6.699 eV/atom
- DOS at the Fermi energy: 6.3 states/eV/f.u.

***

Record 3
First-principles (PBE) data for a geometry-optimized LiNiSe2 structure, as listed in the Alexandria database.

Unit cell a=5.5321 b=5.5321 c=5.5321 alpha=141.89 beta=141.89 gamma=54.99
Last column: nearest neighbours and their distance in Å.
Positions (direct):
Li1 0.0000 0.0000 0.0000  4 Se 2.55
Ni1 0.2500 0.7500 0.5000  4 Se 2.55
Se1 0.5000 0.5000 0.0000  4 Li 2.55
Se2 0.7500 0.2500 0.5000  4 Ni 2.55

Results
- E_tot: -3.860 eV/atom
- DOS at the Fermi energy: 2.1 states/eV/f.u.

***

Record 4
First-principles (PBE) data for a geometry-optimized Ca3Cd2Ag9 structure, as listed in the Alexandria database.

Unit cell a=8.7847 b=8.7847 c=8.7847 alpha=148.71 beta=113.94 gamma=74.91
Last column: nearest neighbours and their distance in Å.
Positions (direct):
Ca1 0.0000 0.0000 0.0000  4 Ag 3.23
Ca2 0.2956 0.2956 0.0000  12 Ag 3.22-3.55, 2 Cd 3.42
Ca3 0.7044 0.7044 0.0000  12 Ag 3.22-3.55, 2 Cd 3.42
Cd1 0.3028 0.5000 0.8028  8 Ag 2.87-3.03
Cd2 0.6972 0.5000 0.1972  8 Ag 2.87-3.03
Ag1 0.0306 0.6740 0.3566  4 Ag 2.75-2.85, 1 Cd 2.87
Ag2 0.1506 0.8711 0.2796  4 Ag 2.77-2.85, 2 Cd 2.98
Ag3 0.3175 0.6740 0.6434  4 Ag 2.75-2.85, 1 Cd 2.87
Ag4 0.4085 0.1289 0.2796  4 Ag 2.77-2.85, 2 Cd 2.98
Ag5 0.5000 0.0000 0.5000  4 Ag 2.77, 4 Cd 3.03
Ag6 0.5915 0.8711 0.7204  4 Ag 2.77-2.85, 2 Cd 2.98
Ag7 0.6825 0.3260 0.3566  4 Ag 2.75-2.85, 1 Cd 2.87
Ag8 0.8494 0.1289 0.7204  4 Ag 2.77-2.85, 2 Cd 2.98
Ag9 0.9694 0.3260 0.6434  4 Ag 2.75-2.85, 1 Cd 2.87

Results
- ΔE_f: -0.201 eV/atom
- E_tot: -2.594 eV/atom
- DOS at the Fermi energy: 5.4 states/eV/f.u.

***

Record 5
First-principles (PBE) data for a geometry-optimized InSbPt4 structure, as listed in the Alexandria database.

Unit cell a=5.4021 b=5.4021 c=5.4021 alpha=60.00 beta=60.00 gamma=60.00
Last column: nearest neighbours and their distance in Å.
Positions (direct):
In1 0.0000 0.0000 0.0000  12 Pt 3.17, 4 Sb 3.31
Sb1 0.2500 0.2500 0.2500  12 Pt 3.17, 4 In 3.31
Pt1 0.1248 0.6251 0.6251  6 Pt 2.70
Pt2 0.6251 0.1248 0.6251  6 Pt 2.70
Pt3 0.6251 0.6251 0.1248  6 Pt 2.70
Pt4 0.6251 0.6251 0.6251  6 Pt 2.70

Results
- E_tot: -5.313 eV/atom
- DOS at the Fermi energy: 1.4 states/eV/f.u.